No. 1
4
Lattice="4.325 -1.345 0.000 4.325 1.345 0.000 -0.845 0.000 4.533" Properties=species:S:1:pos:R:3 comment="Co2MoIr (PBE, relaxed)" e_tot_ev_per_atom=-8.4280 delta_e_f_kj_per_mol_atoms=5 magnetic_moment_mub_per_cell=2.43 sg="C2/m (12)" pbc="T T T"
Co 1.928 0.000 1.136
Co 5.877 0.000 3.397
Mo -0.423 0.000 2.267
Ir 4.325 0.000 0.000


No. 2
4
Lattice="-1.872 1.872 3.662 1.872 -1.872 3.662 1.872 1.872 -3.662" Properties=species:S:1:pos:R:3 comment="Co2MoIr (PBE, relaxed)" e_tot_ev_per_atom=-8.5296 delta_e_f_kj_per_mol_atoms=-5 magnetic_moment_mub_per_cell=1.29 sg="I4/mmm (139)" pbc="T T T"
Co 1.872 0.000 1.831
Co 0.000 1.872 1.831
Mo 0.000 0.000 0.000
Ir 0.000 0.000 3.662


No. 3
4
Lattice="-1.854 1.854 3.753 1.854 -1.854 3.753 1.854 1.854 -3.753" Properties=species:S:1:pos:R:3 comment="Co2MoIr (PBE, relaxed)" e_tot_ev_per_atom=-8.5736 delta_e_f_kj_per_mol_atoms=-9 magnetic_moment_mub_per_cell=1.78 sg="I-4m2 (119)" pbc="T T T"
Co 0.000 0.000 0.000
Co 0.000 1.854 1.876
Mo 1.854 0.000 1.876
Ir 0.000 0.000 3.753